VASP calculation (PBE) on a relaxed La2PbSe crystal.

Results
crystal system = trigonal
space group = R3m (160)
N(E_F) = 0.768 states/eV/atom
formation energy without anion corrections = -4.7 eV/f.u.
excess energy over the best structure of this formula in the dataset = 0.52 eV/f.u.
calculated density = 7.306 g cm⁻³

POSCAR file:
```
La2PbSe
1.0
2.0686 1.1943 8.6476
-2.0686 1.1943 8.6476
0.0000 -2.3886 8.6476
La Pb Se
2 1 1
direct
0.0000 0.0000 0.0000 La
0.1926 0.1926 0.1926 La
0.7635 0.7635 0.7635 Pb
0.5957 0.5957 0.5957 Se
```


VASP calculation (PBE) on a relaxed LaPb5Se7 crystal.

Results
crystal system = monoclinic
space group = Cm (8)
N(E_F) = 0.497 states/eV/atom
formation energy without anion corrections = -10.4 eV/f.u.
calculated density = 7.327 g cm⁻³

POSCAR file:
```
LaPb5Se7
1.0
7.2510 -2.1517 0.0000
7.2510 2.1517 0.0000
-0.0071 0.0000 25.0948
La Pb Se
2 10 14
direct
0.0000 0.0000 0.0000 La
0.6004 0.6004 0.5001 La
0.0607 0.0607 0.3370 Pb
0.0907 0.0907 0.6842 Pb
0.2400 0.2400 0.1104 Pb
0.2690 0.2690 0.9118 Pb
0.3313 0.3313 0.4119 Pb
0.3603 0.3603 0.6103 Pb
0.5094 0.5094 0.1843 Pb
0.5394 0.5394 0.8369 Pb
0.7863 0.7863 0.2598 Pb
0.8138 0.8138 0.7596 Pb
0.0070 0.0070 0.5754 Se
0.1475 0.1475 0.2224 Se
0.1762 0.1762 0.7975 Se
0.2412 0.2412 0.5146 Se
0.3591 0.3591 0.0146 Se
0.4240 0.4240 0.2977 Se
0.4527 0.4527 0.7222 Se
0.5932 0.5932 0.0756 Se
0.6220 0.6220 0.9445 Se
0.6887 0.6887 0.3840 Se
0.7294 0.7294 0.6524 Se
0.8706 0.8706 0.1527 Se
0.9115 0.9115 0.8838 Se
0.9783 0.9783 0.4447 Se
```


VASP calculation (PBE) on a relaxed La2PbSe crystal.

Results
crystal system = orthorhombic
space group = Amm2 (38)
N(E_F) = 0.186 states/eV/atom
formation energy without anion corrections = -4.5 eV/f.u.
excess energy over the best structure of this formula in the dataset = 0.68 eV/f.u.
calculated density = 7.440 g cm⁻³

POSCAR file:
```
La2PbSe
1.0
4.9257 0.0000 0.0000
0.0000 2.0846 6.1291
0.0000 -2.0846 6.1291
La Pb Se
2 1 1
direct
0.0000 0.0000 0.0000 La
0.5000 0.2537 0.2537 La
0.5000 0.5167 0.5167 Pb
0.0000 0.7529 0.7529 Se
```


VASP calculation (PBE) on a relaxed La2PbSe4 crystal.

Results
crystal system = tetragonal
space group = I-42d (122)
N(E_F) = 0.000 states/eV/atom
formation energy without anion corrections = -11.2 eV/f.u.
excess energy over the best structure of this formula in the dataset = 0.00 eV/f.u.
calculated density = 6.921 g cm⁻³

POSCAR file:
```
La2PbSe4
1.0
-4.5862 4.5862 4.5676
4.5862 -4.5862 4.5676
4.5862 4.5862 -4.5676
La Pb Se
4 2 8
direct
0.0102 0.6250 0.8852 La
0.3750 0.2602 0.3852 La
0.7398 0.1250 0.1148 La
0.8750 0.9898 0.6148 La
0.2500 0.7500 0.5000 Pb
0.5000 0.5000 0.0000 Pb
0.1164 0.3685 0.5987 Se
0.1185 0.3664 0.0987 Se
0.2678 0.0198 0.9013 Se
0.4822 0.8836 0.2521 Se
0.6315 0.2302 0.7479 Se
0.6336 0.7322 0.7521 Se
0.7698 0.5178 0.4013 Se
0.9802 0.8815 0.2479 Se
```


VASP calculation (PBE) on a relaxed La3PbSe6 crystal.

Results
crystal system = orthorhombic
space group = Cmc2_1 (36)
N(E_F) = 0.428 states/eV/atom
formation energy without anion corrections = -15.7 eV/f.u.
calculated density = 5.803 g cm⁻³

POSCAR file:
```
La3PbSe6
1.0
5.8392 -7.3475 0.0000
5.8392 7.3475 0.0000
0.0000 0.0000 7.3205
La Pb Se
6 2 12
direct
0.0972 0.9028 0.5000 La
0.2143 0.4116 0.5829 La
0.4116 0.2143 0.0829 La
0.5884 0.7857 0.5829 La
0.7857 0.5884 0.0829 La
0.9028 0.0972 0.0000 La
0.3036 0.6964 0.1180 Pb
0.6964 0.3036 0.6180 Pb
0.0516 0.5915 0.3260 Se
0.1334 0.1894 0.2901 Se
0.1894 0.1334 0.7901 Se
0.2783 0.7217 0.7252 Se
0.4085 0.9484 0.3260 Se
0.4759 0.5241 0.3002 Se
0.5241 0.4759 0.8002 Se
0.5915 0.0516 0.8260 Se
0.7217 0.2783 0.2252 Se
0.8106 0.8666 0.2901 Se
0.8666 0.8106 0.7901 Se
0.9484 0.4085 0.8260 Se
```


VASP calculation (PBE) on a relaxed LaPbSe3 crystal.

Results
crystal system = monoclinic
space group = P2_1/m (11)
N(E_F) = 0.893 states/eV/atom
formation energy without anion corrections = -5.2 eV/f.u.
excess energy over the best structure of this formula in the dataset = 0.00 eV/f.u.
calculated density = 5.350 g cm⁻³

POSCAR file:
```
LaPbSe3
1.0
7.5251 0.0000 0.0000
0.0000 4.5147 0.0000
-2.4855 0.0000 10.6525
La Pb Se
2 2 6
direct
0.2190 0.2500 0.4240 La
0.7810 0.7500 0.5760 La
0.3759 0.2500 0.8567 Pb
0.6241 0.7500 0.1433 Pb
0.0484 0.2500 0.6452 Se
0.2530 0.7500 0.9719 Se
0.4545 0.7500 0.3567 Se
0.5455 0.2500 0.6433 Se
0.7470 0.2500 0.0281 Se
0.9516 0.7500 0.3548 Se
```


VASP calculation (PBE) on a relaxed La2PbSe crystal.

Results
crystal system = orthorhombic
space group = Imm2 (44)
N(E_F) = 0.511 states/eV/atom
formation energy without anion corrections = -4.5 eV/f.u.
excess energy over the best structure of this formula in the dataset = 0.75 eV/f.u.
calculated density = 7.223 g cm⁻³

POSCAR file:
```
La2PbSe
1.0
-1.9446 2.0509 8.1270
1.9446 -2.0509 8.1270
1.9446 2.0509 -8.1270
La Pb Se
2 1 1
direct
0.0000 0.0000 0.0000 La
0.7252 0.2252 0.5000 La
0.3398 0.8398 0.5000 Pb
0.5781 0.5781 0.0000 Se
```


VASP calculation (PBE) on a relaxed LaPb2Se crystal.

Results
crystal system = tetragonal
space group = I-4m2 (119)
N(E_F) = 0.487 states/eV/atom
formation energy without anion corrections = -2.4 eV/f.u.
calculated density = 9.062 g cm⁻³

POSCAR file:
```
LaPb2Se
1.0
-2.5896 2.5896 4.3192
2.5896 -2.5896 4.3192
2.5896 2.5896 -4.3192
La Pb Se
1 2 1
direct
0.0000 0.0000 0.0000 La
0.2500 0.7500 0.5000 Pb
0.5000 0.5000 0.0000 Pb
0.7500 0.2500 0.5000 Se
```


VASP calculation (PBE) on a relaxed La2PbSe2 crystal.

Results
crystal system = tetragonal
space group = P4/mbm (127)
N(E_F) = 1.344 states/eV/atom
formation energy without anion corrections = -6.4 eV/f.u.
excess energy over the best structure of this formula in the dataset = 0.21 eV/f.u.
calculated density = 7.352 g cm⁻³

POSCAR file:
```
La2PbSe2
1.0
8.6487 0.0000 0.0000
0.0000 8.6487 0.0000
0.0000 0.0000 3.8828
La Pb Se
4 2 4
direct
0.1611 0.3389 0.0000 La
0.3389 0.8389 0.0000 La
0.6611 0.1611 0.0000 La
0.8389 0.6611 0.0000 La
0.0000 0.0000 0.0000 Pb
0.5000 0.5000 0.0000 Pb
0.1381 0.6381 0.5000 Se
0.3619 0.1381 0.5000 Se
0.6381 0.8619 0.5000 Se
0.8619 0.3619 0.5000 Se
```


VASP calculation (PBE) on a relaxed LaPb2Se crystal.

Results
crystal system = orthorhombic
space group = Cmmm (65)
N(E_F) = 1.047 states/eV/atom
formation energy without anion corrections = -0.5 eV/f.u.
calculated density = 8.552 g cm⁻³

POSCAR file:
```
LaPb2Se
1.0
2.0869 -3.0913 0.0000
2.0869 3.0913 0.0000
0.0000 0.0000 9.5149
La Pb Se
1 2 1
direct
0.0000 0.0000 0.0000 La
0.5000 0.5000 0.2825 Pb
0.5000 0.5000 0.7175 Pb
0.0000 0.0000 0.5000 Se
```


VASP calculation (PBE) on a relaxed LaPb2Se crystal.

Results
crystal system = trigonal
space group = R3m (160)
N(E_F) = 0.522 states/eV/atom
formation energy without anion corrections = -2.9 eV/f.u.
calculated density = 7.431 g cm⁻³

POSCAR file:
```
LaPb2Se
1.0
2.2726 1.3121 7.8973
-2.2726 1.3121 7.8973
0.0000 -2.6242 7.8973
La Pb Se
1 2 1
direct
0.0000 0.0000 0.0000 La
0.2408 0.2408 0.2408 Pb
0.5053 0.5053 0.5053 Pb
0.7229 0.7229 0.7229 Se
```


VASP calculation (PBE) on a relaxed La2PbSe4 crystal.

Results
crystal system = orthorhombic
space group = Cmcm (63)
N(E_F) = 0.000 states/eV/atom
formation energy without anion corrections = -10.9 eV/f.u.
excess energy over the best structure of this formula in the dataset = 0.37 eV/f.u.
calculated density = 5.963 g cm⁻³

POSCAR file:
```
La2PbSe4
1.0
2.1526 -7.1180 0.0000
2.1526 7.1180 0.0000
0.0000 0.0000 14.5541
La Pb Se
4 2 8
direct
0.1341 0.8659 0.5704 La
0.1341 0.8659 0.9296 La
0.8659 0.1341 0.0704 La
0.8659 0.1341 0.4296 La
0.3882 0.6118 0.7500 Pb
0.6118 0.3882 0.2500 Pb
0.0314 0.9686 0.7500 Se
0.2295 0.7705 0.1163 Se
0.2295 0.7705 0.3837 Se
0.5000 0.5000 0.0000 Se
0.5000 0.5000 0.5000 Se
0.7705 0.2295 0.6163 Se
0.7705 0.2295 0.8837 Se
0.9686 0.0314 0.2500 Se
```


VASP calculation (PBE) on a relaxed La2PbSe crystal.

Results
crystal system = trigonal
space group = R3m (160)
N(E_F) = 0.786 states/eV/atom
formation energy without anion corrections = -1.9 eV/f.u.
excess energy over the best structure of this formula in the dataset = 3.30 eV/f.u.
calculated density = 7.127 g cm⁻³

POSCAR file:
```
La2PbSe
1.0
1.9492 1.1254 9.9844
-1.9492 1.1254 9.9844
0.0000 -2.2507 9.9844
La Pb Se
2 1 1
direct
0.0000 0.0000 0.0000 La
0.2367 0.2367 0.2367 La
0.7582 0.7582 0.7582 Pb
0.5064 0.5064 0.5064 Se
```


VASP calculation (PBE) on a relaxed LaPb2Se crystal.

Results
crystal system = orthorhombic
space group = Immm (71)
N(E_F) = 0.671 states/eV/atom
formation energy without anion corrections = -2.9 eV/f.u.
calculated density = 8.877 g cm⁻³

POSCAR file:
```
LaPb2Se
1.0
-2.1815 2.2131 6.1247
2.1815 -2.2131 6.1247
2.1815 2.2131 -6.1247
La Pb Se
1 2 1
direct
0.0000 0.0000 0.0000 La
0.2777 0.7777 0.5000 Pb
0.7223 0.2223 0.5000 Pb
0.5000 0.5000 0.0000 Se
```


VASP calculation (PBE) on a relaxed La3Pb5Se12 crystal.

Results
crystal system = cubic
space group = Ia-3d (230)
N(E_F) = 0.517 states/eV/atom
formation energy without anion corrections = -17.7 eV/f.u.
calculated density = 6.139 g cm⁻³

POSCAR file:
```
La3Pb5Se12
1.0
-8.6591 8.6591 8.6591
8.6591 -8.6591 8.6591
8.6591 8.6591 -8.6591
La Pb Se
12 20 48
direct
0.1250 0.2500 0.3750 La
0.1250 0.3750 0.7500 La
0.2500 0.3750 0.1250 La
0.2500 0.8750 0.6250 La
0.3750 0.1250 0.2500 La
0.3750 0.7500 0.1250 La
0.6250 0.2500 0.8750 La
0.6250 0.8750 0.7500 La
0.7500 0.1250 0.3750 La
0.7500 0.6250 0.8750 La
0.8750 0.6250 0.2500 La
0.8750 0.7500 0.6250 La
0.0000 0.0000 0.0000 Pb
0.0000 0.0000 0.5000 Pb
0.0000 0.5000 0.0000 Pb
0.0000 0.5000 0.5000 Pb
0.1250 0.7500 0.8750 Pb
0.1250 0.8750 0.2500 Pb
0.2500 0.1250 0.8750 Pb
0.2500 0.6250 0.3750 Pb
0.3750 0.2500 0.6250 Pb
0.3750 0.6250 0.7500 Pb
0.5000 0.0000 0.0000 Pb
0.5000 0.0000 0.5000 Pb
0.5000 0.5000 0.0000 Pb
0.5000 0.5000 0.5000 Pb
0.6250 0.3750 0.2500 Pb
0.6250 0.7500 0.3750 Pb
0.7500 0.3750 0.6250 Pb
0.7500 0.8750 0.1250 Pb
0.8750 0.1250 0.7500 Pb
0.8750 0.2500 0.1250 Pb
0.0536 0.2251 0.1395 Se
0.0536 0.3284 0.9141 Se
0.0859 0.6395 0.4143 Se
0.0857 0.7251 0.6716 Se
0.0857 0.8605 0.4141 Se
0.0859 0.9464 0.6716 Se
0.1395 0.0536 0.2251 Se
0.1395 0.5859 0.9143 Se
0.1716 0.2251 0.5857 Se
0.1716 0.4464 0.5859 Se
0.2251 0.1395 0.0536 Se
0.2251 0.5857 0.1716 Se
0.2749 0.3284 0.9143 Se
0.2749 0.4464 0.3605 Se
0.3284 0.9141 0.0536 Se
0.3284 0.9143 0.2749 Se
0.3605 0.2749 0.4464 Se
0.3605 0.5857 0.9141 Se
0.4143 0.0859 0.6395 Se
0.4141 0.0857 0.8605 Se
0.4141 0.8284 0.5536 Se
0.4143 0.8284 0.7749 Se
0.4464 0.3605 0.2749 Se
0.4464 0.5859 0.1716 Se
0.5536 0.4141 0.8284 Se
0.5536 0.6395 0.7251 Se
0.5857 0.1716 0.2251 Se
0.5859 0.1716 0.4464 Se
0.5859 0.9143 0.1395 Se
0.5857 0.9141 0.3605 Se
0.6395 0.4143 0.0859 Se
0.6395 0.7251 0.5536 Se
0.6716 0.0857 0.7251 Se
0.6716 0.0859 0.9464 Se
0.7251 0.5536 0.6395 Se
0.7251 0.6716 0.0857 Se
0.7749 0.4143 0.8284 Se
0.7749 0.8605 0.9464 Se
0.8284 0.5536 0.4141 Se
0.8284 0.7749 0.4143 Se
0.8605 0.4141 0.0857 Se
0.8605 0.9464 0.7749 Se
0.9141 0.0536 0.3284 Se
0.9143 0.1395 0.5859 Se
0.9143 0.2749 0.3284 Se
0.9141 0.3605 0.5857 Se
0.9464 0.6716 0.0859 Se
0.9464 0.7749 0.8605 Se
```


VASP calculation (PBE) on a relaxed LaPb2Se crystal.

Results
crystal system = monoclinic
space group = Pm (6)
N(E_F) = 0.407 states/eV/atom
formation energy without anion corrections = -3.1 eV/f.u.
calculated density = 8.310 g cm⁻³

POSCAR file:
```
LaPb2Se
1.0
4.0926 0.0000 0.0000
0.0000 4.4116 0.0000
-1.5488 0.0000 6.9976
La Pb Se
1 2 1
direct
0.0000 0.0000 0.0000 La
0.4428 0.5000 0.3272 Pb
0.9473 0.0000 0.5045 Pb
0.4718 0.5000 0.9046 Se
```


VASP calculation (PBE) on a relaxed La2PbSe crystal.

Results
crystal system = tetragonal
space group = P4/mmm (123)
N(E_F) = 0.246 states/eV/atom
formation energy without anion corrections = -5.1 eV/f.u.
excess energy over the best structure of this formula in the dataset = 0.11 eV/f.u.
calculated density = 7.160 g cm⁻³

POSCAR file:
```
La2PbSe
1.0
4.5233 0.0000 0.0000
0.0000 4.5233 0.0000
0.0000 0.0000 6.3923
La Pb Se
2 1 1
direct
0.0000 0.0000 0.0000 La
0.5000 0.5000 0.5000 La
0.0000 0.0000 0.5000 Pb
0.5000 0.5000 0.0000 Se
```


VASP calculation (PBE) on a relaxed La2PbSe crystal.

Results
crystal system = orthorhombic
space group = Immm (71)
N(E_F) = 0.359 states/eV/atom
formation energy without anion corrections = -4.1 eV/f.u.
excess energy over the best structure of this formula in the dataset = 1.10 eV/f.u.
calculated density = 7.661 g cm⁻³

POSCAR file:
```
La2PbSe
1.0
-2.4571 3.0612 4.0631
2.4571 -3.0612 4.0631
2.4571 3.0612 -4.0631
La Pb Se
2 1 1
direct
0.2332 0.2332 0.0000 La
0.7668 0.7668 0.0000 La
0.5000 0.0000 0.5000 Pb
0.0000 0.5000 0.5000 Se
```


VASP calculation (PBE) on a relaxed LaPb2Se crystal.

Results
crystal system = trigonal
space group = R-3m (166)
N(E_F) = 0.887 states/eV/atom
formation energy without anion corrections = -0.7 eV/f.u.
calculated density = 8.526 g cm⁻³

POSCAR file:
```
LaPb2Se
1.0
1.9360 1.1178 9.4844
-1.9360 1.1178 9.4844
0.0000 -2.2355 9.4844
La Pb Se
1 2 1
direct
0.0000 0.0000 0.0000 La
0.2368 0.2368 0.2368 Pb
0.7632 0.7632 0.7632 Pb
0.5000 0.5000 0.5000 Se
```


VASP calculation (PBE) on a relaxed La2PbSe crystal.

Results
crystal system = orthorhombic
space group = Pmna (53)
N(E_F) = 0.304 states/eV/atom
formation energy without anion corrections = -5.2 eV/f.u.
excess energy over the best structure of this formula in the dataset = 0.00 eV/f.u.
calculated density = 7.125 g cm⁻³

POSCAR file:
```
La2PbSe
1.0
6.4036 0.0000 0.0000
0.0000 6.4039 0.0000
0.0000 0.0000 12.8203
La Pb Se
8 4 4
direct
0.0000 0.2490 0.1185 La
0.0000 0.2510 0.6315 La
0.0000 0.7490 0.3684 La
0.0000 0.7510 0.8815 La
0.5000 0.2490 0.3815 La
0.5000 0.2510 0.8684 La
0.5000 0.7490 0.1316 La
0.5000 0.7510 0.6185 La
0.0000 0.2490 0.3750 Pb
0.0000 0.7510 0.6250 Pb
0.5000 0.2490 0.1250 Pb
0.5000 0.7510 0.8750 Pb
0.0000 0.2510 0.8750 Se
0.0000 0.7490 0.1250 Se
0.5000 0.2510 0.6250 Se
0.5000 0.7490 0.3750 Se
```


VASP calculation (PBE) on a relaxed LaPb2Se crystal.

Results
crystal system = tetragonal
space group = P4/mmm (123)
N(E_F) = 0.695 states/eV/atom
formation energy without anion corrections = -2.8 eV/f.u.
calculated density = 8.773 g cm⁻³

POSCAR file:
```
LaPb2Se
1.0
4.3677 0.0000 0.0000
0.0000 4.3677 0.0000
0.0000 0.0000 6.2734
La Pb Se
1 2 1
direct
0.0000 0.0000 0.0000 La
0.0000 0.5000 0.5000 Pb
0.5000 0.0000 0.5000 Pb
0.5000 0.5000 0.0000 Se
```